Model one:
Crystalline Rb2FeTeH at its relaxed geometry. Source: Alexandria, functional PBE.

Unit cell a=4.4289 b=10.3409 c=7.0841 alpha=90.00 beta=90.00 gamma=90.00
Space group Imm2 (No. 44)
Unique sites:
Rb 0.0000 0.1828 0.0000 [4 per cell]
Fe 0.0000 0.5000 0.1873 [2 per cell]
Te 0.0000 0.0000 0.4917 [2 per cell]
H 0.0000 0.5000 0.4227 [2 per cell]

## Properties
The mass density comes out at 3.6 g/cm3. As for the size of the total moment: 0.60 μB/atom.


Model two:
Crystalline Rb2FeTeH at its relaxed geometry. Source: Alexandria, functional PBE.

Unit cell a=13.1103 b=4.4811 c=9.7421 alpha=90.00 beta=131.84 gamma=90.00
Space group Cm (No. 8)
Unique sites:
Rb 0.0000 0.0000 0.0000 [2 per cell]
Rb 0.0196 0.5000 0.5482 [2 per cell]
Fe 0.2262 0.0000 0.9616 [2 per cell]
Te 0.3095 0.5000 0.1453 [2 per cell]
H 0.0730 0.0000 0.7502 [2 per cell]

## Properties
The mass density comes out at 2.8 g/cm3. As for the size of the total moment: 0.60 μB/atom.


Model three:
Crystalline Rb2FeTeH at its relaxed geometry. Source: Alexandria, functional PBE.

Unit cell a=11.0566 b=6.5767 c=4.7052 alpha=90.00 beta=90.51 gamma=90.00
Space group Cm (No. 8)
Unique sites:
Rb 0.0000 0.0000 0.0000 [2 per cell]
Rb 0.1336 0.5000 0.5098 [2 per cell]
Fe 0.3679 0.0000 0.0047 [2 per cell]
Te 0.2667 0.0000 0.5025 [2 per cell]
H 0.0182 0.5000 0.0077 [2 per cell]

## Properties
The mass density comes out at 3.4 g/cm3. As for the size of the total moment: 0.60 μB/atom.


Unit: kJ/mol of atoms. Relative energies: model one 0.0; model two 6.3; model three 2.4.


Model one:
Crystalline Fe3ReH at its relaxed geometry. Source: Alexandria, functional PBE.

Unit cell a=3.6181 b=3.6181 c=3.6181 alpha=90.00 beta=90.00 gamma=90.00
Space group Pm-3m (No. 221)
Unique sites:
Fe 0.0000 0.0000 0.5000 [3 per cell]
Re 0.5000 0.5000 0.5000 [1 per cell]
H 0.0000 0.0000 0.0000 [1 per cell]

## Properties
The mass density comes out at 12.4 g/cm3. As for the size of the total moment: 0.00 μB/atom.


Model two:
Crystalline Fe3ReH at its relaxed geometry. Source: Alexandria, functional PBE.

Unit cell a=4.5283 b=4.5283 c=4.5283 alpha=90.00 beta=90.00 gamma=90.00
Space group Pm-3m (No. 221)
Unique sites:
Fe 0.0000 0.0000 0.5000 [3 per cell]
Re 0.0000 0.0000 0.0000 [1 per cell]
H 0.5000 0.5000 0.5000 [1 per cell]

## Properties
The mass density comes out at 6.3 g/cm3. As for the size of the total moment: 1.23 μB/atom.


Unit: kJ/mol of atoms. Relative energies: model one 0.0; model two 194.5.


Model one:
Crystalline Fe2ReH2 at its relaxed geometry. Source: Alexandria, functional PBE.

Unit cell a=5.6509 b=5.6509 c=2.6882 alpha=90.00 beta=90.00 gamma=90.00
Space group P4/mbm (No. 127)
Unique sites:
Fe 0.1383 0.3617 0.0000 [4 per cell]
Re 0.0000 0.0000 0.5000 [2 per cell]
H 0.2227 0.7227 0.5000 [4 per cell]

## Properties
The mass density comes out at 11.6 g/cm3. As for the size of the total moment: 0.00 μB/atom.


Model two:
Crystalline Fe2ReH2 at its relaxed geometry. Source: Alexandria, functional PBE.

Unit cell a=3.1475 b=3.1475 c=8.2324 alpha=90.00 beta=90.00 gamma=90.00
Space group I4/mmm (No. 139)
Unique sites:
Fe 0.0000 0.0000 0.1635 [4 per cell]
Re 0.0000 0.0000 0.5000 [2 per cell]
H 0.0000 0.5000 0.2500 [4 per cell]

## Properties
The mass density comes out at 12.2 g/cm3. As for the size of the total moment: 0.40 μB/atom.


Unit: kJ/mol of atoms. Relative energies: model one 7.2; model two 0.0.


Model one:
Crystalline Fe2ReHRh at its relaxed geometry. Source: Alexandria, functional PBE.

Unit cell a=3.7518 b=3.7518 c=3.6758 alpha=90.00 beta=90.00 gamma=90.00
Space group P4/mmm (No. 123)
Unique sites:
Fe 0.0000 0.5000 0.0000 [2 per cell]
Re 0.0000 0.0000 0.5000 [1 per cell]
H 0.5000 0.5000 0.0000 [1 per cell]
Rh 0.5000 0.5000 0.5000 [1 per cell]

## Properties
The mass density comes out at 12.9 g/cm3. As for the size of the total moment: 0.00 μB/atom.


Model two:
Crystalline Fe2ReHRh at its relaxed geometry. Source: Alexandria, functional PBE.

Unit cell a=3.7187 b=3.7187 c=3.7636 alpha=90.00 beta=90.00 gamma=90.00
Space group P4/mmm (No. 123)
Unique sites:
Fe 0.0000 0.5000 0.0000 [2 per cell]
Re 0.0000 0.0000 0.5000 [1 per cell]
H 0.0000 0.0000 0.0000 [1 per cell]
Rh 0.5000 0.5000 0.5000 [1 per cell]

## Properties
The mass density comes out at 12.8 g/cm3. As for the size of the total moment: 0.00 μB/atom.


Unit: kJ/mol of atoms. Relative energies: model one 0.0; model two 3.1.


Model one:
Crystalline FeReTc2H at its relaxed geometry. Source: Alexandria, functional PBE.

Unit cell a=3.8930 b=3.8930 c=3.7650 alpha=90.00 beta=90.00 gamma=90.00
Space group P4/mmm (No. 123)
Unique sites:
Fe 0.0000 0.0000 0.0000 [1 per cell]
Re 0.5000 0.5000 0.0000 [1 per cell]
Tc 0.0000 0.5000 0.5000 [2 per cell]
H 0.0000 0.0000 0.5000 [1 per cell]

## Properties
The mass density comes out at 12.8 g/cm3. As for the size of the total moment: 0.22 μB/atom.


Model two:
Crystalline FeReTc2H at its relaxed geometry. Source: Alexandria, functional PBE.

Unit cell a=3.8655 b=3.8655 c=3.8848 alpha=90.00 beta=90.00 gamma=90.00
Space group P4/mmm (No. 123)
Unique sites:
Fe 0.0000 0.0000 0.0000 [1 per cell]
Re 0.5000 0.5000 0.0000 [1 per cell]
Tc 0.0000 0.5000 0.5000 [2 per cell]
H 0.5000 0.5000 0.5000 [1 per cell]

## Properties
The mass density comes out at 12.6 g/cm3. As for the size of the total moment: 0.27 μB/atom.


Unit: kJ/mol of atoms. Relative energies: model one 0.0; model two 7.9.


Model one:
Crystalline VFe2ReH at its relaxed geometry. Source: Alexandria, functional PBE.

Unit cell a=3.6550 b=3.6550 c=3.7838 alpha=90.00 beta=90.00 gamma=90.00
Space group P4/mmm (No. 123)
Unique sites:
V 0.0000 0.0000 0.0000 [1 per cell]
Fe 0.0000 0.5000 0.5000 [2 per cell]
Re 0.5000 0.5000 0.0000 [1 per cell]
H 0.0000 0.0000 0.5000 [1 per cell]

## Properties
The mass density comes out at 11.5 g/cm3. As for the size of the total moment: 0.19 μB/atom.


Model two:
Crystalline VFe2ReH at its relaxed geometry. Source: Alexandria, functional PBE.

Unit cell a=3.6531 b=3.6531 c=3.8543 alpha=90.00 beta=90.00 gamma=90.00
Space group P4/mmm (No. 123)
Unique sites:
V 0.0000 0.0000 0.0000 [1 per cell]
Fe 0.0000 0.5000 0.5000 [2 per cell]
Re 0.5000 0.5000 0.0000 [1 per cell]
H 0.5000 0.5000 0.5000 [1 per cell]

## Properties
The mass density comes out at 11.3 g/cm3. As for the size of the total moment: 0.29 μB/atom.


Unit: kJ/mol of atoms. Relative energies: model one 0.0; model two 6.2.